Computed, not measured: an optimized crystal structure of Ce3PmY2Te6 at the PBE level of DFT.

Calculated values
**Formation energy without anion corrections**: -31.50 kcal/mol of atoms

Cell: 7.6466 13.2634 7.7776 Å, 90.00 109.18 90.00°
Space group C2/m (No. 12)
Symmetry-distinct sites (fractional):
Ce1 0.0000 0.0000 0.0000
Ce2 0.0000 0.3370 0.0000
Pm1 0.0000 0.5000 0.5000
Y1 0.0000 0.1674 0.5000
Te1 0.2405 0.0000 0.7396
Te2 0.2492 0.1694 0.2564

=====

Computed, not measured: an optimized crystal structure of Ce3Pm2YTe6 at the PBE level of DFT.

Calculated values
**Formation energy without anion corrections**: -31.85 kcal/mol of atoms

Cell: 19.5035 4.4318 8.9913 Å, 90.00 103.90 90.00°
Space group C2/m (No. 12)
Symmetry-distinct sites (fractional):
Ce1 0.0000 0.0000 0.0000
Ce2 0.1687 0.5000 0.3340
Pm1 0.1671 0.5000 0.8343
Y1 0.0000 0.0000 0.5000
Te1 0.0004 0.5000 0.2575
Te2 0.1632 0.0000 0.5830
Te3 0.1669 0.0000 0.0823

=====

Computed, not measured: an optimized crystal structure of Ce2PmTh7 at the PBE level of DFT.

Calculated values
**Formation energy**: 0.034 eV/atom

Cell: 18.0865 4.9914 7.0889 Å, 90.00 101.60 90.00°
Space group C2/m (No. 12)
Symmetry-distinct sites (fractional):
Ce1 0.1991 0.0000 0.0991
Pm1 0.0000 0.0000 0.5000
Th1 0.0000 0.0000 0.0000
Th2 0.1015 0.5000 0.2996
Th3 0.1026 0.5000 0.8039
Th4 0.2010 0.0000 0.6027

=====

Computed, not measured: an optimized crystal structure of Ce4PmTh5 at the PBE level of DFT.

Calculated values
**Formation energy**: 0.023 eV/atom

Cell: 3.5072 3.5072 24.5681 Å, 90.00 90.00 90.00°
Space group P4/mmm (No. 123)
Symmetry-distinct sites (fractional):
Ce1 0.0000 0.0000 0.0980
Ce2 0.0000 0.0000 0.2935
Pm1 0.0000 0.0000 0.5000
Th1 0.5000 0.5000 0.0000
Th2 0.5000 0.5000 0.1959
Th3 0.5000 0.5000 0.3924

=====

Computed, not measured: an optimized crystal structure of Ce2PmTh9 at the PBE level of DFT.

Calculated values
**Formation energy**: 0.034 eV/atom

Cell: 5.0001 5.0001 15.0622 Å, 90.00 90.00 90.00°
Space group P4/mmm (No. 123)
Symmetry-distinct sites (fractional):
Ce1 0.0000 0.0000 0.1651
Pm1 0.0000 0.0000 0.5000
Th1 0.0000 0.5000 0.0000
Th2 0.0000 0.5000 0.3284
Th3 0.5000 0.5000 0.1631
Th4 0.5000 0.5000 0.5000

=====

Computed, not measured: an optimized crystal structure of CePmTh4 at the PBE level of DFT.

Calculated values
**Formation energy**: 0.033 eV/atom

Cell: 3.5596 3.5596 15.0213 Å, 90.00 90.00 90.00°
Space group P4/mmm (No. 123)
Symmetry-distinct sites (fractional):
Ce1 0.0000 0.0000 0.0000
Pm1 0.5000 0.5000 0.5000
Th1 0.0000 0.0000 0.3237
Th2 0.5000 0.5000 0.1597